No. 1
{
  "formula": "SrScBe2",
  "functional": "PBE",
  "state": "relaxed",
  "rho_g_cm3": 3.1,
  "formation_enthalpy_0k_ev_per_atom": 0.4346,
  "space_group": "No. 123",
  "magnetic_moment_mub_per_fu": 0.00,
  "e_above_lowest_polymorph_mev_per_atom": 234.7,
  "cell": [[4.946, 0.000, 0.000], [0.000, 4.946, 0.000], [0.000, 0.000, 3.312]],
  "species": ["Sr", "Sc", "Be", "Be"],
  "fractional_positions": [[0.000, 0.000, 0.000], [0.500, 0.500, 0.000], [0.000, 0.500, 0.500], [0.500, 0.000, 0.500]]
}

***

No. 2
{
  "formula": "CuN",
  "functional": "PBE",
  "state": "relaxed",
  "rho_g_cm3": 7.1,
  "space_group": "No. 225",
  "formation_energy_uncorrected_ev_per_fu": 2.069,
  "magnetic_moment_mub_per_fu": 0.00,
  "e_above_lowest_polymorph_mev_per_atom": 656.9,
  "cell": [[0.000, 2.085, 2.085], [2.085, 0.000, 2.085], [2.085, 2.085, 0.000]],
  "species": ["Cu", "N"],
  "fractional_positions": [[0.000, 0.000, 0.000], [0.500, 0.500, 0.500]]
}

***

No. 3
{
  "formula": "Sm2YZn3",
  "functional": "PBE",
  "state": "relaxed",
  "rho_g_cm3": 6.8,
  "formation_enthalpy_0k_ev_per_atom": -0.3283,
  "space_group": "No. 123",
  "magnetic_moment_mub_per_fu": 0.00,
  "cell": [[3.619, 0.000, 0.000], [0.000, 3.619, 0.000], [0.000, 0.000, 10.881]],
  "species": ["Sm", "Sm", "Y", "Zn", "Zn", "Zn"],
  "fractional_positions": [[0.000, 0.000, 0.168], [0.000, 0.000, 0.832], [0.000, 0.000, 0.500], [0.500, 0.500, 0.000], [0.500, 0.500, 0.339], [0.500, 0.500, 0.661]]
}

***

No. 4
{
  "formula": "Hf2NbSb",
  "functional": "PBE",
  "state": "relaxed",
  "rho_g_cm3": 11.6,
  "space_group": "No. 123",
  "formation_energy_uncorrected_ev_per_fu": -1.169,
  "magnetic_moment_mub_per_fu": 0.00,
  "cell": [[4.611, 0.000, 0.000], [0.000, 4.611, 0.000], [0.000, 0.000, 3.855]],
  "species": ["Hf", "Hf", "Nb", "Sb"],
  "fractional_positions": [[0.000, 0.500, 0.000], [0.500, 0.000, 0.000], [0.000, 0.000, 0.500], [0.500, 0.500, 0.500]]
}

***

No. 5
{
  "formula": "BaIr2Pb",
  "functional": "PBE",
  "state": "relaxed",
  "rho_g_cm3": 12.8,
  "formation_enthalpy_0k_ev_per_atom": 0.3628,
  "space_group": "No. 44",
  "magnetic_moment_mub_per_fu": 0.00,
  "e_above_lowest_polymorph_mev_per_atom": 505.6,
  "cell": [[-1.571, 2.706, 5.547], [1.571, -2.706, 5.547], [1.571, 2.706, -5.547]],
  "species": ["Ba", "Ir", "Ir", "Pb"],
  "fractional_positions": [[0.000, 0.000, 0.000], [0.289, 0.789, 0.500], [0.478, 0.478, 0.000], [0.707, 0.207, 0.500]]
}

***

No. 6
{
  "formula": "YCdIr",
  "functional": "PBE",
  "state": "relaxed",
  "rho_g_cm3": 9.0,
  "formation_enthalpy_0k_ev_per_atom": -0.4050,
  "space_group": "No. 216",
  "magnetic_moment_mub_per_fu": 0.00,
  "cell": [[0.000, 3.311, 3.311], [3.311, 0.000, 3.311], [3.311, 3.311, 0.000]],
  "species": ["Y", "Cd", "Ir"],
  "fractional_positions": [[0.000, 0.000, 0.000], [0.500, 0.500, 0.500], [0.750, 0.750, 0.750]]
}